{
  "formula": "LiRh3",
  "functional": "PBE",
  "state": "optimized geometry",
  "lattice_angstrom": [[4.4490, -1.3500, 0.0000], [4.4490, 1.3500, 0.0000], [-0.6998, 0.0000, 4.5646]],
  "species": ["Li", "Rh", "Rh", "Rh"],
  "frac_coords": [[0.0000, 0.0000, 0.0000], [0.2440, 0.2440, 0.7504], [0.5000, 0.5000, 0.5000], [0.7560, 0.7560, 0.2496]],
  "sg": "C2/m",
  "formation_enthalpy_0k_ev_per_atom": -0.082
}